(1)
Material: PuThPa14
Method: DFT, GGA-PBE
State: relaxed

Results
As for the total energy: -154.23 eV for the cell shown.

Cell lengths 6.655, 6.655, 9.159 Å; angles 90.00, 90.00, 89.98 degrees
Fractional coordinates of all 16 atoms:
Pu 0.375 0.625 0.000
Th 0.875 0.125 0.000
Pa 0.375 0.625 0.500
Pa 0.875 0.125 0.500
Pa 0.875 0.625 0.000
Pa 0.875 0.625 0.500
Pa 0.375 0.125 0.000
Pa 0.375 0.125 0.500
Pa 0.623 0.873 0.749
Pa 0.623 0.873 0.251
Pa 0.127 0.377 0.749
Pa 0.127 0.377 0.251
Pa 0.127 0.873 0.749
Pa 0.127 0.873 0.251
Pa 0.623 0.377 0.749
Pa 0.623 0.377 0.251

***

(2)
Material: Sr2GaPtAu
Method: DFT, GGA-PBE
State: relaxed

Results
As for the total energy: -18.53 eV for the cell shown.

Cell lengths 5.846, 5.846, 4.736 Å; angles 90.00, 90.00, 90.00 degrees
Fractional coordinates of all 5 atoms:
Sr 0.000 0.500 0.000
Sr 0.500 0.000 0.000
Au 0.500 0.500 0.500
Ga 0.000 0.000 0.500
Pt 0.000 0.000 0.000

***

(3)
Material: Ni4GePt
Method: DFT, GGA-PBE
State: relaxed

Results
As for the total energy: -66.19 eV for the cell shown.

Cell lengths 6.277, 6.277, 6.133 Å; angles 120.78, 120.78, 90.00 degrees
Fractional coordinates of all 12 atoms:
Ni 0.410 0.133 0.520
Ni 0.637 0.160 0.020
Ni 0.383 0.859 0.020
Ni 0.109 0.387 0.520
Ni 0.141 0.363 0.980
Ni 0.867 0.891 0.480
Ni 0.613 0.590 0.480
Ni 0.840 0.617 0.980
Ge 0.500 0.500 0.000
Ge 0.750 0.250 0.500
Pt 0.000 0.000 0.000
Pt 0.250 0.750 0.500